DFT (PBE) results for crystalline K2TiGaRe at its relaxed geometry.

DFT formation energy = 1318 meV per atom
Total DFT energy (no corrections) = -18.974 eV per cell

```
5
Lattice="-0.270 -5.812 2.741 4.252 -0.859 -1.402 2.303 2.473 5.471" Properties=species:S:1:pos:R:3 pbc="T T T"
Re 0.000 0.000 0.000
K 1.152 1.237 2.736
K -0.135 -2.906 1.370
Ga 3.143 -2.099 3.405
Ti 2.126 -0.429 -0.701
```